Compound: AlTcN2O
Source: Alexandria
Functional: PBE
Structure: optimized geometry

```
5
Lattice="3.7730 0.0000 0.0000 0.0000 3.7730 0.0000 0.0000 0.0000 3.5653" Properties=species:S:1:pos:R:3 pbc="T T T"
N 0.0000 1.8865 0.0000
N 1.8865 0.0000 0.0000
Al 0.0000 0.0000 0.0000
O 0.0000 0.0000 1.7827
Tc 1.8865 1.8865 1.7827
```

mass density: 5.5 g/cm3
size of the total moment: 0.40 μB/atom
raw total energy: -34.39 eV/cell
E_form (uncorrected): 0.27 eV/atom

Compound: AlTlNO2
Source: Alexandria
Functional: PBE
Structure: optimized geometry

```
5
Lattice="-0.7098 3.1381 -2.5644 -2.0185 -2.5313 -2.5389 -3.7430 0.8735 2.1050" Properties=species:S:1:pos:R:3 pbc="T T T"
O -0.3549 1.5691 -1.2822
O -1.0093 -1.2656 -1.2694
N -1.8715 0.4367 1.0525
Tl 0.0000 0.0000 0.0000
Al -3.2357 0.7402 -1.4991
```

mass density: 6.2 g/cm3
size of the total moment: 0.00 μB/atom
raw total energy: -20.02 eV/cell
E_form (uncorrected): 0.87 eV/atom

Compound: AlTlNO2
Source: Alexandria
Functional: PBE
Structure: optimized geometry

```
5
Lattice="3.6605 0.0000 0.0000 0.0000 3.6605 0.0000 0.0000 0.0000 4.2629" Properties=species:S:1:pos:R:3 pbc="T T T"
N 0.0000 0.0000 2.1315
O 0.0000 1.8302 0.0000
O 1.8302 0.0000 0.0000
Al 0.0000 0.0000 0.0000
Tl 1.8302 1.8302 2.1315
```

mass density: 8.1 g/cm3
size of the total moment: 0.19 μB/atom
raw total energy: -27.57 eV/cell
E_form (uncorrected): -0.64 eV/atom

The highest mass density belongs to which entry?
number 3

raw total energy of number 1 (AlTcN2O)?
-34.39 eV/cell

Which of these has the highest size of the total moment?
AlTcN2O